Entry 1:
Ho5Te5Pb | GGA-PBE | optimized geometry

The structure in POSCAR format:
```
Ho5Te5Pb
1.0
6.8690 -3.0800 0.0000
6.8690 3.0800 0.0000
-2.7309 0.0000 8.2341
Ho Te Pb
5 5 1
direct
0.0000 0.0000 0.0000 Ho
0.3364 0.3364 0.1697 Ho
0.3365 0.3365 0.6677 Ho
0.6635 0.6635 0.3323 Ho
0.6636 0.6636 0.8303 Ho
0.1656 0.1656 0.3372 Te
0.1662 0.1662 0.8301 Te
0.5000 0.5000 0.5000 Te
0.8338 0.8338 0.1699 Te
0.8344 0.8344 0.6628 Te
0.5000 0.5000 0.0000 Pb
```

Calculated values
Space group: C2/m (12)



Entry 2:
ZrSi | GGA-PBE | optimized geometry

The structure in POSCAR format:
```
ZrSi
1.0
5.3186 0.0000 0.0000
0.0000 5.3186 0.0000
0.0000 0.0000 5.3186
Zr Si
4 4
direct
0.1477 0.1477 0.1477 Zr
0.3523 0.8523 0.6477 Zr
0.6477 0.3523 0.8523 Zr
0.8523 0.6477 0.3523 Zr
0.1598 0.3402 0.6598 Si
0.3402 0.6598 0.1598 Si
0.6598 0.1598 0.3402 Si
0.8402 0.8402 0.8402 Si
```

Calculated values
Space group: P2_13 (198)



Entry 3:
KHgAs | GGA-PBE | optimized geometry

The structure in POSCAR format:
```
KHgAs
1.0
5.3646 0.0000 0.0000
-2.6823 4.6459 0.0000
0.0000 0.0000 6.7129
K Hg As
2 2 2
direct
0.3333 0.6667 0.2500 K
0.6667 0.3333 0.7500 K
0.0000 0.0000 0.0000 Hg
0.0000 0.0000 0.5000 Hg
0.3333 0.6667 0.7500 As
0.6667 0.3333 0.2500 As
```

Calculated values
Space group: P6_3/mmc (194)



Entry 4:
NaNiSn | GGA-PBE | optimized geometry

The structure in POSCAR format:
```
NaNiSn
1.0
0.0000 3.2051 3.2051
3.2051 0.0000 3.2051
3.2051 3.2051 0.0000
Na Ni Sn
1 1 1
direct
0.0000 0.0000 0.0000 Na
0.7500 0.7500 0.7500 Ni
0.2500 0.2500 0.2500 Sn
```

Calculated values
Space group: F-43m (216)



Entry 5:
NdAsN2O | GGA-PBE | optimized geometry

The structure in POSCAR format:
```
NdAsN2O
1.0
3.8304 0.0000 0.0000
0.0000 3.8304 0.0000
0.0000 0.0000 3.8982
Nd As N O
1 1 2 1
direct
0.0000 0.0000 0.0000 Nd
0.5000 0.5000 0.5000 As
0.0000 0.5000 0.5000 N
0.5000 0.0000 0.5000 N
0.5000 0.5000 0.0000 O
```

Calculated values
Space group: P4/mmm (123)



Entry 6:
CuAg4 | GGA-PBE | optimized geometry

The structure in POSCAR format:
```
CuAg4
1.0
4.7571 -1.4438 0.0000
4.7571 1.4438 0.0000
-2.3686 0.0000 12.1589
Cu Ag
2 8
direct
0.0989 0.0989 0.1962 Cu
0.9011 0.9011 0.8038 Cu
0.0000 0.0000 0.5000 Ag
0.2060 0.2060 0.8976 Ag
0.2982 0.2982 0.6079 Ag
0.4079 0.4079 0.2942 Ag
0.5000 0.5000 0.0000 Ag
0.5921 0.5921 0.7058 Ag
0.7018 0.7018 0.3921 Ag
0.7940 0.7940 0.1024 Ag
```

Calculated values
ΔH_f (0 K) (eV per atom): 0.058
Space group: C2/m (12)
Excess energy over the best structure of this formula in the dataset (meV per atom): 34



Entry 7:
Bi5Pd3Au | GGA-PBE | optimized geometry

The structure in POSCAR format:
```
Bi5Pd3Au
1.0
5.6928 0.0000 0.0000
-2.8464 4.9301 0.0000
0.0000 0.0000 8.1957
Bi Pd Au
5 3 1
direct
0.0000 0.0000 0.0000 Bi
0.3333 0.6667 0.2935 Bi
0.3333 0.6667 0.7065 Bi
0.6667 0.3333 0.2935 Bi
0.6667 0.3333 0.7065 Bi
0.0000 0.5000 0.0000 Pd
0.5000 0.0000 0.0000 Pd
0.5000 0.5000 0.0000 Pd
0.0000 0.0000 0.5000 Au
```

Calculated values
Space group: P6/mmm (191)



Entry 8:
Hf4PSN2 | GGA-PBE | optimized geometry

The structure in POSCAR format:
```
Hf4PSN2
1.0
3.3470 0.0000 0.0000
-1.6735 2.8986 0.0000
0.0000 0.0000 11.9028
Hf P S N
4 1 1 2
direct
0.0000 0.0000 0.1482 Hf
0.0000 0.0000 0.8518 Hf
0.6667 0.3333 0.3497 Hf
0.6667 0.3333 0.6503 Hf
0.6667 0.3333 0.0000 P
0.0000 0.0000 0.5000 S
0.3333 0.6667 0.2497 N
0.3333 0.6667 0.7503 N
```

Calculated values
Space group: P-6m2 (187)



Entry 9:
Li4Mg2TlPt | GGA-PBE | optimized geometry

The structure in POSCAR format:
```
Li4Mg2TlPt
1.0
4.5535 0.0000 0.0000
0.0000 4.5535 0.0000
0.0000 0.0000 6.6642
Li Mg Tl Pt
4 2 1 1
direct
0.0000 0.0000 0.0000 Li
0.0000 0.5000 0.2295 Li
0.5000 0.0000 0.7705 Li
0.5000 0.5000 0.5000 Li
0.0000 0.5000 0.7833 Mg
0.5000 0.0000 0.2167 Mg
0.0000 0.0000 0.5000 Tl
0.5000 0.5000 0.0000 Pt
```

Calculated values
Space group: P-4m2 (115)



Entry 10:
SmSb2 | GGA-PBE | optimized geometry

The structure in POSCAR format:
```
SmSb2
1.0
0.0000 4.4412 4.4412
4.4412 0.0000 4.4412
4.4412 4.4412 0.0000
Sm Sb
2 4
direct
0.1250 0.1250 0.1250 Sm
0.8750 0.8750 0.8750 Sm
0.0000 0.5000 0.5000 Sb
0.5000 0.0000 0.5000 Sb
0.5000 0.5000 0.0000 Sb
0.5000 0.5000 0.5000 Sb
```

Calculated values
Space group: Fd-3m (227)



Entry 11:
Sc2Fe3Mo2 | GGA-PBE | optimized geometry

The structure in POSCAR format:
```
Sc2Fe3Mo2
1.0
2.1171 1.2223 6.8114
-2.1171 1.2223 6.8114
0.0000 -2.4446 6.8114
Sc Fe Mo
2 3 2
direct
0.0000 0.0000 0.0000 Sc
0.4879 0.4879 0.4879 Sc
0.3645 0.3645 0.3645 Fe
0.6168 0.6168 0.6168 Fe
0.8702 0.8702 0.8702 Fe
0.2414 0.2414 0.2414 Mo
0.7466 0.7466 0.7466 Mo
```

Calculated values
ΔH_f (0 K) (eV per atom): 0.124
Space group: R3m (160)



Entry 12:
Y3Co11B4 | GGA-PBE | optimized geometry

The structure in POSCAR format:
```
Y3Co11B4
1.0
5.0311 0.0000 0.0000
-2.5155 4.3571 0.0000
0.0000 0.0000 9.7218
Y Co B
3 11 4
direct
0.0000 0.0000 0.0000 Y
0.0000 0.0000 0.3416 Y
0.0000 0.0000 0.6584 Y
0.0000 0.5000 0.2025 Co
0.0000 0.5000 0.5000 Co
0.0000 0.5000 0.7975 Co
0.3333 0.6667 0.0000 Co
0.5000 0.0000 0.2025 Co
0.5000 0.0000 0.5000 Co
0.5000 0.0000 0.7975 Co
0.5000 0.5000 0.2025 Co
0.5000 0.5000 0.5000 Co
0.5000 0.5000 0.7975 Co
0.6667 0.3333 0.0000 Co
0.3333 0.6667 0.3498 B
0.3333 0.6667 0.6502 B
0.6667 0.3333 0.3498 B
0.6667 0.3333 0.6502 B
```

Calculated values
Space group: P6/mmm (191)



Number 1: uncorrected energy -55.83 eV for the cell shown, ρ 7.959 g/cm3. Number 2: uncorrected energy -59.75 eV for the cell shown, ρ 5.267 g/cm3. Number 3: uncorrected energy -11.29 eV for the cell shown, ρ 6.245 g/cm3. Number 4: uncorrected energy -8.80 eV for the cell shown, ρ 5.053 g/cm3. Number 5: uncorrected energy -34.44 eV for the cell shown, ρ 7.641 g/cm3. Number 6: uncorrected energy -29.45 eV for the cell shown, ρ 9.843 g/cm3. Number 7: uncorrected energy -39.82 eV for the cell shown, ρ 11.270 g/cm3. Number 8: uncorrected energy -77.89 eV for the cell shown, ρ 11.576 g/cm3. Number 9: uncorrected energy -21.98 eV for the cell shown, ρ 5.718 g/cm3. Number 10: uncorrected energy -27.30 eV for the cell shown, ρ 7.467 g/cm3. Number 11: uncorrected energy -58.41 eV for the cell shown, ρ 7.055 g/cm3. Number 12: uncorrected energy -130.24 eV for the cell shown, ρ 7.466 g/cm3.